ScCrAu2 | Alexandria via LeMat-Bulk | PBE-GGA | optimized geometry; total magnetization = 3.10 μB per formula unit; E_form = 100 meV/atom; DFT total energy = -5.527 eV per atom; density of states at the Fermi level = 0.77 states/eV per atom
1.0
-8.220 2.522 -3.147
-8.630 -0.549 -3.010
-9.066 1.188 -0.478
Cr Au Sc
1 2 1
Direct
0.501 0.501 0.501
0.247 0.247 0.247
0.001 0.001 0.001
0.751 0.751 0.751

=====

TeWI2Cl | Alexandria via LeMat-Bulk | PBE-GGA | optimized geometry; relative energy among the computed polymorphs = 1.2433 eV/atom; total magnetization = 3.98 μB per formula unit; DFT total energy = -2.558 eV per atom; formation energy without anion corrections = 1.650 eV/atom; density of states at the Fermi level = 1.32 states/eV per atom
1.0
5.452 0.000 0.000
0.000 5.452 0.000
0.000 0.000 5.751
W Cl I Te
1 1 2 1
Direct
0.500 0.500 0.500
0.000 0.000 0.000
0.500 0.000 0.000
0.000 0.500 0.000
0.000 0.000 0.500

=====

PaCd5Pd4 | Alexandria via LeMat-Bulk | PBE-GGA | optimized geometry; total magnetization = 1.11 μB per formula unit; E_form = -281 meV/atom; DFT total energy = -3.765 eV per atom; density of states at the Fermi level = 0.72 states/eV per atom
1.0
-0.977 -1.861 2.232
2.872 -0.976 0.444
2.875 14.569 13.408
Pd Pa Cd
4 1 5
Direct
0.000 0.000 0.407
0.000 0.000 0.593
0.000 0.000 0.779
0.000 0.000 0.221
0.000 0.000 0.000
0.500 0.500 0.500
0.500 0.500 0.128
0.500 0.500 0.686
0.500 0.500 0.314
0.500 0.500 0.872

=====

Li4Y3ThS8 | Alexandria via LeMat-Bulk | PBE-GGA | optimized geometry; total magnetization = 0.00 μB per formula unit; DFT total energy = -6.010 eV per atom; formation energy without anion corrections = -1.792 eV/atom; density of states at the Fermi level = 0.20 states/eV per atom
1.0
7.856 0.000 0.000
0.000 7.683 -0.130
-3.928 -3.923 5.556
Th S Li Y
1 8 4 3
Direct
0.000 0.500 0.000
0.254 0.757 0.003
0.254 0.757 0.508
0.251 0.243 0.997
0.751 0.752 0.502
0.749 0.757 0.003
0.249 0.248 0.498
0.746 0.243 0.997
0.746 0.243 0.492
0.500 0.000 0.000
0.500 0.000 0.500
0.000 0.000 0.500
0.000 0.000 0.000
0.500 0.500 0.500
0.500 0.500 0.000
0.000 0.500 0.500

=====

Ti2SbPt2 | Alexandria via LeMat-Bulk | PBE-GGA | optimized geometry; relative energy among the computed polymorphs = 0.0000 eV/atom; total magnetization = 0.00 μB per formula unit; DFT total energy = -7.091 eV per atom; formation energy without anion corrections = -0.693 eV/atom; density of states at the Fermi level = 0.99 states/eV per atom
1.0
-2.858 -7.074 0.672
7.050 -2.914 -0.685
0.349 0.143 2.990
Sb Ti Pt
2 4 4
Direct
0.000 0.000 0.000
0.500 0.500 0.000
0.161 0.661 0.500
0.661 0.839 0.500
0.339 0.161 0.500
0.839 0.339 0.500
0.369 0.869 0.000
0.131 0.369 0.000
0.631 0.131 0.000
0.869 0.631 0.000

=====

Ba3As4Pd | Alexandria via LeMat-Bulk | PBE-GGA | optimized geometry; total magnetization = 0.00 μB per formula unit; E_form = -896 meV/atom; DFT total energy = -4.591 eV per atom; density of states at the Fermi level = 0.35 states/eV per atom
1.0
4.955 0.000 -1.374
-0.503 5.588 -1.814
-0.136 -0.159 9.130
As Ba Pd
4 3 1
Direct
0.384 0.167 0.767
0.616 0.833 0.233
0.616 0.400 0.233
0.384 0.600 0.767
0.192 0.192 0.383
0.808 0.808 0.617
0.000 0.500 0.000
0.500 0.000 0.000